# 1
# PBE AcPr10Y6, optimized geometry
# SG ... P-31m
# Formation enthalpy at 0 K ... 134 meV per atom
# Uncorrected energy ... -88.41 eV per cell
data_AcPr10Y6
_symmetry_space_group_name_H-M 'P 1'
_symmetry_Int_Tables_number 1
_cell_length_a 10.0209
_cell_length_b 10.0209
_cell_length_c 7.0320
_cell_angle_alpha 90.00
_cell_angle_beta 90.00
_cell_angle_gamma 120.00
loop_
_symmetry_equiv_pos_as_xyz
'x,y,z'
loop_
_atom_site_label
_atom_site_fract_x
_atom_site_fract_y
_atom_site_fract_z
Ac1 0.0000 0.0000 0.0000
Pr1 0.0000 0.2833 0.3304
Pr2 0.0000 0.7167 0.6696
Pr3 0.2833 0.0000 0.3304
Pr4 0.2833 0.2833 0.6696
Pr5 0.3333 0.6667 0.0000
Pr6 0.3333 0.6667 0.5000
Pr7 0.6667 0.3333 0.0000
Pr8 0.6667 0.3333 0.5000
Pr9 0.7167 0.0000 0.6696
Pr10 0.7167 0.7167 0.3304
Y1 0.0000 0.3661 0.8210
Y2 0.0000 0.6339 0.1790
Y3 0.3661 0.0000 0.8210
Y4 0.3661 0.3661 0.1790
Y5 0.6339 0.0000 0.1790
Y6 0.6339 0.6339 0.8210

# 2
# PBE AcSm3Tc, optimized geometry
# SG ... Pm-3m
# Formation enthalpy at 0 K ... 138 meV per atom
# Uncorrected energy ... -27.94 eV per cell
data_AcSm3Tc
_symmetry_space_group_name_H-M 'P 1'
_symmetry_Int_Tables_number 1
_cell_length_a 5.5529
_cell_length_b 5.5529
_cell_length_c 5.5529
_cell_angle_alpha 90.00
_cell_angle_beta 90.00
_cell_angle_gamma 90.00
loop_
_symmetry_equiv_pos_as_xyz
'x,y,z'
loop_
_atom_site_label
_atom_site_fract_x
_atom_site_fract_y
_atom_site_fract_z
Ac1 0.0000 0.0000 0.0000
Sm1 0.0000 0.5000 0.5000
Sm2 0.5000 0.0000 0.5000
Sm3 0.5000 0.5000 0.0000
Tc1 0.5000 0.5000 0.5000

# 3
# PBE La2Ga3PdPt4, optimized geometry
# SG ... P-4m2
# Formation enthalpy at 0 K ... -947 meV per atom
# Uncorrected energy ... -57.76 eV per cell
data_La2Ga3PdPt4
_symmetry_space_group_name_H-M 'P 1'
_symmetry_Int_Tables_number 1
_cell_length_a 4.1391
_cell_length_b 4.1391
_cell_length_c 11.5542
_cell_angle_alpha 90.00
_cell_angle_beta 90.00
_cell_angle_gamma 90.00
loop_
_symmetry_equiv_pos_as_xyz
'x,y,z'
loop_
_atom_site_label
_atom_site_fract_x
_atom_site_fract_y
_atom_site_fract_z
La1 0.0000 0.5000 0.2400
La2 0.5000 0.0000 0.7600
Ga1 0.0000 0.0000 0.0000
Ga2 0.0000 0.5000 0.6276
Ga3 0.5000 0.0000 0.3724
Pd1 0.5000 0.5000 0.0000
Pt1 0.0000 0.0000 0.5000
Pt2 0.0000 0.5000 0.8443
Pt3 0.5000 0.0000 0.1557
Pt4 0.5000 0.5000 0.5000

# 4
# PBE SiRhBr2, optimized geometry
# SG ... F-43m
# Uncorrected energy ... -52.97 eV per cell
# Energy relative to the lowest polymorph listed for this composition ... 87.68 kJ per mole of atoms
data_SiRhBr2
_symmetry_space_group_name_H-M 'P 1'
_symmetry_Int_Tables_number 1
_cell_length_a 6.7577
_cell_length_b 6.7577
_cell_length_c 6.7577
_cell_angle_alpha 90.00
_cell_angle_beta 90.00
_cell_angle_gamma 90.00
loop_
_symmetry_equiv_pos_as_xyz
'x,y,z'
loop_
_atom_site_label
_atom_site_fract_x
_atom_site_fract_y
_atom_site_fract_z
Si1 0.0000 0.0000 0.0000
Si2 0.0000 0.5000 0.5000
Si3 0.5000 0.0000 0.5000
Si4 0.5000 0.5000 0.0000
Rh1 0.2500 0.2500 0.2500
Rh2 0.2500 0.7500 0.7500
Rh3 0.7500 0.2500 0.7500
Rh4 0.7500 0.7500 0.2500
Br1 0.0000 0.0000 0.5000
Br2 0.0000 0.5000 0.0000
Br3 0.2500 0.2500 0.7500
Br4 0.2500 0.7500 0.2500
Br5 0.5000 0.0000 0.0000
Br6 0.5000 0.5000 0.5000
Br7 0.7500 0.2500 0.2500
Br8 0.7500 0.7500 0.7500